Compound: LiSiSbOs
Source: OQMD
Functional: PBE-GGA
Structure: relaxed

## Properties
DFT total energy: -83.9 eV per cell
Theoretical density: 9.22 Mg/m³
Energy above the most stable polymorph in this dataset: 1.75 eV/f.u.
Symmetry: F-43m (216)

Cell lengths 6.301, 6.301, 6.301 Å; angles 90.00, 90.00, 90.00 degrees
Positions (direct):
1 Li 0.000 0.000 0.000
2 Li 0.000 0.500 0.500
3 Li 0.500 0.000 0.500
4 Li 0.500 0.500 0.000
5 Si 0.000 0.000 0.500
6 Si 0.000 0.500 0.000
7 Si 0.500 0.000 0.000
8 Si 0.500 0.500 0.500
9 Sb 0.250 0.250 0.750
10 Sb 0.250 0.750 0.250
11 Sb 0.750 0.250 0.250
12 Sb 0.750 0.750 0.750
13 Os 0.250 0.250 0.250
14 Os 0.250 0.750 0.750
15 Os 0.750 0.250 0.750
16 Os 0.750 0.750 0.250